Record 1
This record from Alexandria via LeMat-Bulk describes a relaxed RbMn3Se crystal. The functional is PBE.

```
RbMn3Se
1.0
4.844 0.000 0.000
0.000 4.844 0.000
0.000 0.000 4.844
Rb Mn Se
1 3 1
Direct
0.000 0.000 0.000
0.000 0.500 0.500
0.500 0.000 0.500
0.500 0.500 0.000
0.500 0.500 0.500
```

Calculated values
- Relative energy among the computed polymorphs: 0.0 meV/atom
- Raw formation energy: 786 meV/atom


Record 2
This record from Alexandria via LeMat-Bulk describes a relaxed CeLuH crystal. The functional is PBE.

```
CeLuH
1.0
3.446 0.000 0.000
-1.723 2.984 0.000
0.000 0.000 5.789
Ce Lu H
1 1 1
Direct
0.000 0.000 0.000
0.667 0.333 0.505
0.333 0.667 0.732
```

Calculated values
- Relative energy among the computed polymorphs: 0.0 meV/atom


Record 3
This record from Alexandria via LeMat-Bulk describes a relaxed TaAs2Cl crystal. The functional is PBE.

```
TaAs2Cl
1.0
2.062 -2.067 0.000
2.062 2.067 0.000
0.000 0.000 10.650
Ta As Cl
1 2 1
Direct
0.000 0.000 0.000
0.000 0.000 0.515
0.500 0.500 0.180
0.500 0.500 0.847
```

Calculated values
- Relative energy among the computed polymorphs: 418.3 meV/atom
- Raw formation energy: 57 meV/atom


Record 4
This record from Alexandria via LeMat-Bulk describes a relaxed LiScBe2Re crystal. The functional is PBE.

```
LiScBe2Re
1.0
4.285 0.000 0.000
0.000 4.285 0.000
0.000 0.000 3.680
Li Sc Be Re
1 1 2 1
Direct
0.000 0.000 0.000
0.000 0.000 0.500
0.000 0.500 0.500
0.500 0.000 0.500
0.500 0.500 0.000
```

Calculated values
- Energy of formation: 888.5 kJ/mol of formula units


Record 5
This record from Alexandria via LeMat-Bulk describes a relaxed ScSi3Pd crystal. The functional is PBE.

```
ScSi3Pd
1.0
4.699 0.000 0.000
0.000 4.699 0.000
0.000 0.000 4.699
Sc Si Pd
1 3 1
Direct
0.000 0.000 0.000
0.000 0.500 0.500
0.500 0.000 0.500
0.500 0.500 0.000
0.500 0.500 0.500
```

Calculated values
- Raw formation energy: 398 meV/atom


Record 6
This record from Alexandria via LeMat-Bulk describes a relaxed Nd2AgIr crystal. The functional is PBE.

```
Nd2AgIr
1.0
0.000 3.634 3.634
3.634 0.000 3.634
3.634 3.634 0.000
Nd Ag Ir
2 1 1
Direct
0.250 0.250 0.250
0.750 0.750 0.750
0.000 0.000 0.000
0.500 0.500 0.500
```

Calculated values
- Relative energy among the computed polymorphs: 64.7 meV/atom
- Energy of formation: -168.6 kJ/mol of formula units


Record 7
This record from Alexandria via LeMat-Bulk describes a relaxed NiSeBrN2 crystal. The functional is PBE.

```
NiSeBrN2
1.0
3.690 0.000 0.000
0.000 3.690 0.000
0.000 0.000 7.534
Ni Se Br N
1 1 1 2
Direct
0.000 0.000 0.000
0.500 0.500 0.000
0.500 0.500 0.500
0.000 0.500 0.500
0.500 0.000 0.500
```

Calculated values
- Relative energy among the computed polymorphs: 866.6 meV/atom
- Raw formation energy: 2165 meV/atom


Record 8
This record from Alexandria via LeMat-Bulk describes a relaxed Ac2AgHg2 crystal. The functional is PBE.

```
Ac2AgHg2
1.0
5.717 0.000 0.000
0.006 5.741 0.000
2.817 0.043 9.261
Ac Ag Hg
4 2 4
Direct
0.147 0.249 0.210
0.353 0.251 0.790
0.647 0.749 0.210
0.853 0.751 0.790
0.249 0.750 0.000
0.751 0.250 0.000
0.047 0.747 0.411
0.452 0.753 0.589
0.548 0.247 0.411
0.953 0.253 0.589
```

Calculated values
- Relative energy among the computed polymorphs: 53.8 meV/atom
- Energy of formation: -167.1 kJ/mol of formula units


Record 9
This record from Alexandria via LeMat-Bulk describes a relaxed TlTe3C crystal. The functional is PBE.

```
TlTe3C
1.0
4.965 0.000 0.000
0.000 4.965 0.000
0.000 0.000 4.965
Tl Te C
1 3 1
Direct
0.000 0.000 0.000
0.000 0.500 0.500
0.500 0.000 0.500
0.500 0.500 0.000
0.500 0.500 0.500
```

Calculated values
- Relative energy among the computed polymorphs: 0.0 meV/atom
- Raw formation energy: 824 meV/atom


Record 10
This record from Alexandria via LeMat-Bulk describes a relaxed Er4Mg3In2 crystal. The functional is PBE.

```
Er4Mg3In2
1.0
4.527 -2.612 0.000
4.527 2.612 0.000
-0.009 0.000 9.993
Er Mg In
4 3 2
Direct
0.000 0.000 0.173
0.000 0.000 0.827
0.333 0.333 0.624
0.667 0.667 0.376
0.000 0.000 0.500
0.333 0.333 0.988
0.667 0.667 0.012
0.334 0.334 0.302
0.666 0.666 0.698
```

Calculated values
- Energy of formation: -207.9 kJ/mol of formula units


Record 11
This record from Alexandria via LeMat-Bulk describes a relaxed SrLaCd2 crystal. The functional is PBE.

```
SrLaCd2
1.0
-1.749 3.237 6.746
1.749 -3.237 6.746
1.749 3.237 -6.746
Sr La Cd
1 1 2
Direct
0.000 0.000 0.000
0.500 0.500 0.000
0.257 0.257 0.000
0.743 0.743 0.000
```

Calculated values
- Energy of formation: 156.3 kJ/mol of formula units


Record 12
This record from Alexandria via LeMat-Bulk describes a relaxed Be2ZnCl crystal. The functional is PBE.

```
Be2ZnCl
1.0
1.479 -2.705 0.000
1.479 2.705 0.000
0.000 0.000 7.240
Be Zn Cl
2 1 1
Direct
0.000 0.000 0.250
0.000 0.000 0.750
0.500 0.500 0.000
0.500 0.500 0.500
```

Calculated values
- Relative energy among the computed polymorphs: 330.7 meV/atom
- Raw formation energy: 378 meV/atom